1.
First-principles (GGA-PBEsol) data for an optimized crystal structure of CaFeW, as listed in Alexandria.

Cell and atoms, written as extended XYZ:
```
3
Lattice="-0.0330 2.6008 1.7926 -0.9034 -2.7705 1.2195 6.1966 -1.2025 1.8587" Properties=species:S:1:pos:R:3 pbc="T T T"
Fe 3.2006 -1.7201 2.5545
Ca 6.0718 -1.1782 1.8212
W 2.1845 0.3238 2.3538
```

Calculated values
Its space group is P3m1.


2.
First-principles (GGA-PBEsol) data for an optimized crystal structure of CaFe2W, as listed in Alexandria.

Cell and atoms, written as extended XYZ:
```
4
Lattice="-1.9311 -1.2199 1.9228 2.0892 -1.9521 0.8597 2.0759 4.3575 4.8496" Properties=species:S:1:pos:R:3 pbc="T T T"
Ca 1.1170 0.5928 3.8160
Fe 0.4029 0.8458 0.9413
Fe 1.6730 3.5118 3.9083
W 0.0790 -1.5860 1.3912
```

Calculated values
Its space group is P4/mmm.


3.
First-principles (GGA-PBEsol) data for an optimized crystal structure of Ca2YFe, as listed in Alexandria.

Cell and atoms, written as extended XYZ:
```
4
Lattice="-3.1110 0.8780 1.3298 -2.8728 -0.2249 -1.9784 -3.4349 -9.7728 3.0108" Properties=species:S:1:pos:R:3 pbc="T T T"
Ca -2.4235 -2.7571 0.7447
Ca -6.9952 -6.3625 1.6175
Y 0.0000 0.0000 0.0000
Fe -4.7093 -4.5598 1.1811
```

Calculated values
Its space group is R-3m.


4.
First-principles (GGA-PBEsol) data for an optimized crystal structure of Ca2YFe, as listed in Alexandria.

Cell and atoms, written as extended XYZ:
```
4
Lattice="3.5017 0.0000 0.0000 -1.7509 6.1413 0.3891 0.0000 -3.0193 4.9149" Properties=species:S:1:pos:R:3 pbc="T T T"
Ca 1.7509 2.8507 1.7490
Ca 1.7509 3.0868 5.2819
Y 0.0000 0.1999 3.5054
Fe 1.7509 -1.4031 2.5291
```

Calculated values
Its space group is Cm.


5.
First-principles (GGA-PBEsol) data for an optimized crystal structure of Ca2YFe, as listed in Alexandria.

Cell and atoms, written as extended XYZ:
```
4
Lattice="-3.1607 -1.0873 -0.0703 0.9716 -2.6161 -3.2206 3.0221 -4.1019 7.0632" Properties=species:S:1:pos:R:3 pbc="T T T"
Y 0.4858 -1.3081 -1.6103
Fe -1.5803 -0.5436 -0.0351
Ca 0.6235 -1.9257 1.7523
Ca 0.2096 -5.8797 2.0199
```

Calculated values
Its space group is Immm.


6.
First-principles (GGA-PBEsol) data for an optimized crystal structure of CaY2Fe, as listed in Alexandria.

Cell and atoms, written as extended XYZ:
```
4
Lattice="-3.0552 1.3202 -1.0557 -1.2944 -3.2296 -0.2927 -2.6723 0.3324 8.1493" Properties=species:S:1:pos:R:3 pbc="T T T"
Fe -4.2547 -0.6960 5.6685
Ca -1.4940 0.1858 4.5558
Y -2.5021 0.3112 7.6301
Y -2.7797 -0.8795 1.1703
```

Calculated values
Its space group is P4mm.


7.
First-principles (GGA-PBEsol) data for an optimized crystal structure of CaY2Fe, as listed in Alexandria.

Cell and atoms, written as extended XYZ:
```
4
Lattice="3.3186 -0.0341 -0.0570 -1.2767 6.0810 -0.2046 -1.2767 -3.0534 5.2628" Properties=species:S:1:pos:R:3 pbc="T T T"
Fe 1.6593 -0.0171 -0.0285
Y -0.6384 3.0405 -0.1023
Y -0.6384 -1.5267 2.6314
Ca 0.3826 1.4968 2.5006
```

Calculated values
Its space group is C2/m.


8.
First-principles (GGA-PBEsol) data for an optimized crystal structure of Ca2YFe, as listed in Alexandria.

Cell and atoms, written as extended XYZ:
```
4
Lattice="5.2688 0.0000 0.0000 2.6344 4.5629 0.0000 2.6344 1.5210 4.3019" Properties=species:S:1:pos:R:3 pbc="T T T"
Ca 7.9031 4.5629 3.2264
Ca 0.0000 0.0000 0.0000
Fe 5.2688 3.0419 2.1510
Y 2.6344 1.5210 1.0755
```

Calculated values
Its space group is F-43m.


Number 1: ΔE_f 79.6 kJ/mol of atoms. Number 2: ΔE_f 32.8 kJ/mol of atoms. Number 3: ΔE_f 53.7 kJ/mol of atoms. Number 4: ΔE_f 33.8 kJ/mol of atoms. Number 5: ΔE_f 34.1 kJ/mol of atoms. Number 6: ΔE_f 27.1 kJ/mol of atoms. Number 7: ΔE_f 56.6 kJ/mol of atoms. Number 8: ΔE_f 53.0 kJ/mol of atoms.